This record from Alexandria via LeMat-Bulk describes crystalline TiS5I at its relaxed geometry. The functional is PBE-GGA.

abc: 5.7267 5.7267 6.6822
angles: 97.48 97.48 73.48
Fractional coordinates of all 7 atoms:
Ti: 0.0000 0.0000 0.0000
S: 0.2031 0.2031 0.2623
S: 0.2059 0.9077 0.7092
S: 0.7447 0.7447 0.0029
S: 0.8603 0.8603 0.2868
S: 0.9077 0.2059 0.7092
I: 0.4234 0.4234 0.1024

Values from the calculation:
total DFT energy (no corrections)	-31.88	eV per cell

This record from Alexandria via LeMat-Bulk describes crystalline Na2SrNb at its relaxed geometry. The functional is PBE-GGA.

abc: 7.3286 7.3286 7.3286
angles: 102.14 102.14 125.40
Fractional coordinates of all 8 atoms:
Na: 0.0944 0.6250 0.9694
Na: 0.3750 0.3444 0.4694
Na: 0.6556 0.1250 0.0306
Na: 0.8750 0.9056 0.5306
Sr: 0.2500 0.7500 0.5000
Sr: 0.5000 0.5000 0.0000
Nb: 0.0000 0.0000 0.0000
Nb: 0.7500 0.2500 0.5000

Values from the calculation:
distance to the lowest polymorph of the same formula	138	meV/atom
energy of formation from the pure elements	1030	meV/atom
total DFT energy (no corrections)	-20.54	eV per cell

This record from Alexandria via LeMat-Bulk describes crystalline Li2PrRh at its relaxed geometry. The functional is PBE-GGA.

abc: 4.0339 8.4239 5.3077
angles: 90.00 112.19 90.00
Fractional coordinates of all 8 atoms:
Li: 0.1691 0.0548 0.3375
Li: 0.1691 0.4452 0.3375
Li: 0.8309 0.5548 0.6625
Li: 0.8309 0.9452 0.6625
Pr: 0.4414 0.2500 0.8873
Pr: 0.5586 0.7500 0.1127
Rh: 0.2571 0.7500 0.5158
Rh: 0.7429 0.2500 0.4842

Values from the calculation:
distance to the lowest polymorph of the same formula	46	meV/atom
energy of formation from the pure elements	-240	meV/atom
total DFT energy (no corrections)	-33.84	eV per cell

This record from Alexandria via LeMat-Bulk describes crystalline PrCuBi at its relaxed geometry. The functional is PBE-GGA.

abc: 5.4027 5.4027 5.4027
angles: 133.15 133.15 68.42
Fractional coordinates of all 3 atoms:
Pr: 0.0000 0.0000 0.0000
Cu: 0.6624 0.6624 0.0000
Bi: 0.3534 0.3534 0.0000

Values from the calculation:
energy of formation from the pure elements	-171	meV/atom
total DFT energy (no corrections)	-13.27	eV per cell

This record from Alexandria via LeMat-Bulk describes crystalline LiCa2Cd at its relaxed geometry. The functional is PBE-GGA.

abc: 5.4754 5.4754 5.4754
angles: 60.00 60.00 60.00
Fractional coordinates of all 4 atoms:
Li: 0.0000 0.0000 0.0000
Ca: 0.2500 0.2500 0.2500
Ca: 0.7500 0.7500 0.7500
Cd: 0.5000 0.5000 0.5000

Values from the calculation:
distance to the lowest polymorph of the same formula	0	meV/atom
energy of formation from the pure elements	-192	meV/atom
total DFT energy (no corrections)	-7.60	eV per cell

This record from Alexandria via LeMat-Bulk describes crystalline InPRh2 at its relaxed geometry. The functional is PBE-GGA.

abc: 4.4887 4.4887 4.4887
angles: 60.00 60.00 60.00
Fractional coordinates of all 4 atoms:
In: 0.0000 0.0000 0.0000
P: 0.2500 0.2500 0.2500
Rh: 0.5000 0.5000 0.5000
Rh: 0.7500 0.7500 0.7500

Values from the calculation:
energy of formation from the pure elements	154	meV/atom
total DFT energy (no corrections)	-22.23	eV per cell

This record from Alexandria via LeMat-Bulk describes crystalline BaNa2TeH at its relaxed geometry. The functional is PBE-GGA.

abc: 4.9850 4.9850 5.4256
angles: 90.00 90.00 90.00
Fractional coordinates of all 5 atoms:
Ba: 0.0000 0.0000 0.0000
Na: 0.0000 0.5000 0.5000
Na: 0.5000 0.0000 0.5000
Te: 0.5000 0.5000 0.0000
H: 0.0000 0.0000 0.5000

Values from the calculation:
total DFT energy (no corrections)	-14.21	eV per cell

This record from Alexandria via LeMat-Bulk describes crystalline Dy3Ho6TmSc2 at its relaxed geometry. The functional is PBE-GGA.

abc: 6.0390 6.0390 11.5154
angles: 95.01 95.01 119.94
Fractional coordinates of all 12 atoms:
Dy: 0.0000 0.0000 0.0000
Dy: 0.3332 0.6668 0.0000
Dy: 0.6668 0.3332 0.0000
Ho: 0.0828 0.4183 0.2560
Ho: 0.2462 0.2462 0.7439
Ho: 0.4183 0.0828 0.2560
Ho: 0.5817 0.9172 0.7440
Ho: 0.7538 0.7538 0.2561
Ho: 0.9172 0.5817 0.7440
Tm: 0.5000 0.5000 0.5000
Sc: 0.1666 0.8334 0.5000
Sc: 0.8334 0.1666 0.5000

Values from the calculation:
energy of formation from the pure elements	37	meV/atom
total DFT energy (no corrections)	-57.97	eV per cell

This record from Alexandria via LeMat-Bulk describes crystalline TcHg3 at its relaxed geometry. The functional is PBE-GGA.

abc: 4.5685 8.1598 9.3589
angles: 90.00 90.00 90.00
Fractional coordinates of all 16 atoms:
Tc: 0.0974 0.2500 0.1941
Tc: 0.4026 0.7500 0.6941
Tc: 0.5974 0.2500 0.3059
Tc: 0.9026 0.7500 0.8059
Hg: 0.0899 0.2500 0.4998
Hg: 0.1112 0.0658 0.8549
Hg: 0.1112 0.4342 0.8549
Hg: 0.3888 0.5658 0.3549
Hg: 0.3888 0.9342 0.3549
Hg: 0.4101 0.7500 0.9998
Hg: 0.5899 0.2500 0.0002
Hg: 0.6112 0.0658 0.6451
Hg: 0.6112 0.4342 0.6451
Hg: 0.8888 0.5658 0.1451
Hg: 0.8888 0.9342 0.1451
Hg: 0.9101 0.7500 0.5002

Values from the calculation:
distance to the lowest polymorph of the same formula	79	meV/atom
energy of formation from the pure elements	421	meV/atom
total DFT energy (no corrections)	-38.36	eV per cell

This record from Alexandria via LeMat-Bulk describes crystalline YVCu2Ag at its relaxed geometry. The functional is PBE-GGA.

abc: 4.6476 4.6476 4.9985
angles: 90.00 90.00 90.00
Fractional coordinates of all 5 atoms:
Y: 0.0000 0.0000 0.0000
V: 0.0000 0.0000 0.5000
Cu: 0.0000 0.5000 0.5000
Cu: 0.5000 0.0000 0.5000
Ag: 0.5000 0.5000 0.0000

Values from the calculation:
energy of formation from the pure elements	928	meV/atom
total DFT energy (no corrections)	-21.99	eV per cell

This record from Alexandria via LeMat-Bulk describes crystalline CoAsBr2 at its relaxed geometry. The functional is PBE-GGA.

abc: 3.4164 3.4686 8.5337
angles: 90.00 90.00 90.00
Fractional coordinates of all 4 atoms:
Co: 0.0000 0.0000 0.0000
As: 0.5000 0.5000 0.9378
Br: 0.0000 0.0000 0.2692
Br: 0.5000 0.5000 0.6622

Values from the calculation:
distance to the lowest polymorph of the same formula	84	meV/atom
total DFT energy (no corrections)	-15.09	eV per cell

This record from Alexandria via LeMat-Bulk describes crystalline ThMg4Pd2 at its relaxed geometry. The functional is PBE-GGA.

abc: 8.0136 8.0136 4.5767
angles: 90.00 90.00 90.00
Fractional coordinates of all 14 atoms:
Th: 0.0000 0.0000 0.0000
Th: 0.5000 0.5000 0.5000
Mg: 0.0843 0.3351 0.5000
Mg: 0.1649 0.5843 0.0000
Mg: 0.3351 0.0843 0.5000
Mg: 0.4157 0.8351 0.0000
Mg: 0.5843 0.1649 0.0000
Mg: 0.6649 0.9157 0.5000
Mg: 0.8351 0.4157 0.0000
Mg: 0.9157 0.6649 0.5000
Pd: 0.2416 0.7584 0.5000
Pd: 0.2584 0.2584 0.0000
Pd: 0.7416 0.7416 0.0000
Pd: 0.7584 0.2416 0.5000

Values from the calculation:
energy of formation from the pure elements	-472	meV/atom
total DFT energy (no corrections)	-54.98	eV per cell